# 1
A plane-wave DFT calculation with GGA-PBE was carried out for a relaxed NdSm7Tl5 crystal.

Summary:
**ΔE_f**: -183 meV/atom

abc: 8.4663 8.4663 8.4663
angles: 133.47 100.16 97.80
With the nearest neighbours (Å) after each atom.
Atoms (fractional coordinates):
Nd1 0.0000 0.0000 0.0000  10 Sm 3.68-4.04, 4 Tl 3.95
Sm1 0.1535 0.4622 0.6912  5 Tl 3.26-3.36, 2 Sm 3.39-3.62
Sm2 0.2034 0.7034 0.5000  4 Tl 3.12, 2 Sm 3.39
Sm3 0.3170 0.9787 0.3383  5 Tl 3.32-3.45, 4 Sm 3.51-3.71, 1 Nd 3.68
Sm4 0.3395 0.3395 0.0000  4 Tl 3.38, 5 Sm 3.59-3.67, 1 Nd 3.78
Sm5 0.6404 0.9787 0.6617  5 Tl 3.32-3.45, 4 Sm 3.51-3.71, 1 Nd 3.68
Sm6 0.6622 0.6622 0.0000  6 Tl 3.34-3.44, 1 Sm 3.59
Sm7 0.7710 0.4622 0.3088  5 Tl 3.26-3.36, 2 Sm 3.39-3.62
Tl1 0.4604 0.4674 0.4894  7 Sm 3.12-3.45, 3 Tl 3.27-3.37
Tl2 0.4604 0.9709 0.9930  7 Sm 3.12-3.45, 3 Tl 3.27-3.37
Tl3 0.7355 0.2355 0.5000  6 Sm 3.27-3.44, 4 Tl 3.27
Tl4 0.9779 0.4674 0.0070  7 Sm 3.12-3.45, 3 Tl 3.27-3.37
Tl5 0.9779 0.9709 0.5106  7 Sm 3.12-3.45, 3 Tl 3.27-3.37



# 2
A plane-wave DFT calculation with GGA-PBE was carried out for a relaxed Nd2SmTl crystal.

Summary:
**ΔE_f**: -97 meV/atom

abc: 11.2277 11.2277 11.2277
angles: 19.23 19.23 19.23
With the nearest neighbours (Å) after each atom.
Atoms (fractional coordinates):
Nd1 0.0000 0.0000 0.0000  3 Tl 3.36, 3 Sm 3.65, 6 Nd 3.75
Nd2 0.1779 0.1779 0.1779  3 Tl 3.35, 3 Sm 3.65, 6 Nd 3.75
Sm1 0.4223 0.4223 0.4223  6 Nd 3.65, 6 Sm 3.75
Tl1 0.5887 0.5887 0.5887  6 Nd 3.35-3.36, 6 Tl 3.75



# 3
A plane-wave DFT calculation with GGA-PBE was carried out for a relaxed NdSm6Tl crystal.

Summary:
**ΔE_f**: 22 meV/atom

abc: 6.3721 6.3771 6.3791
angles: 90.18 90.37 90.35
With the nearest neighbours (Å) after each atom.
Atoms (fractional coordinates):
Nd1 0.0000 0.0000 0.0000  12 Sm 3.58-3.59
Sm1 0.0023 0.2574 0.5019  2 Sm 3.09-3.28
Sm2 0.2575 0.5030 0.0061  2 Sm 3.09-3.28
Sm3 0.4969 0.9967 0.7424  2 Sm 3.09-3.29
Sm4 0.5031 0.0033 0.2576  2 Sm 3.09-3.29
Sm5 0.7425 0.4970 0.9939  2 Sm 3.09-3.28
Sm6 0.9977 0.7426 0.4981  2 Sm 3.09-3.28
Tl1 0.5000 0.5000 0.5000  12 Sm 3.50-3.59



# 4
A plane-wave DFT calculation with GGA-PBE was carried out for a relaxed NdSm4Tl crystal.

Summary:
**ΔE_f**: -104 meV/atom

abc: 3.6729 3.6729 14.5245
angles: 90.00 90.00 90.00
With the nearest neighbours (Å) after each atom.
Atoms (fractional coordinates):
Nd1 0.0000 0.0000 0.0000  8 Sm 3.67, 4 Nd 3.67
Sm1 0.0000 0.0000 0.3534  4 Tl 3.36, 8 Sm 3.64-3.67
Sm2 0.0000 0.0000 0.6466  4 Tl 3.36, 8 Sm 3.64-3.67
Sm3 0.5000 0.5000 0.1783  8 Sm 3.64-3.67, 4 Nd 3.67
Sm4 0.5000 0.5000 0.8217  8 Sm 3.64-3.67, 4 Nd 3.67
Tl1 0.5000 0.5000 0.5000  8 Sm 3.36, 4 Tl 3.67



# 5
A plane-wave DFT calculation with GGA-PBE was carried out for a relaxed Nd6SmTl2 crystal.

Summary:
**ΔE_f**: -154 meV/atom

abc: 6.8472 6.8472 10.5068
angles: 122.26 122.26 47.80
With the nearest neighbours (Å) after each atom.
Atoms (fractional coordinates):
Nd1 0.0910 0.0910 0.4156  3 Tl 3.22-3.38
Nd2 0.2799 0.2799 0.9291  2 Tl 3.20-3.42, 4 Nd 3.43-3.50
Nd3 0.3528 0.3528 0.3207  8 Nd 3.40-3.76, 1 Tl 3.42, 1 Sm 3.67
Nd4 0.6472 0.6472 0.6793  8 Nd 3.40-3.76, 1 Tl 3.42, 1 Sm 3.67
Nd5 0.7201 0.7201 0.0709  2 Tl 3.20-3.42, 4 Nd 3.43-3.50
Nd6 0.9090 0.9090 0.5844  3 Tl 3.22-3.38
Sm1 0.0000 0.0000 0.0000  4 Tl 3.59, 10 Nd 3.67-3.99
Tl1 0.4056 0.4056 0.7375  6 Nd 3.20-3.42
Tl2 0.5944 0.5944 0.2625  6 Nd 3.20-3.42



# 6
A plane-wave DFT calculation with GGA-PBE was carried out for a relaxed Nd5Sm4Tl4 crystal.

Summary:
**ΔE_f**: -248 meV/atom

abc: 9.3102 9.3102 9.3102
angles: 94.46 94.46 147.60
With the nearest neighbours (Å) after each atom.
Atoms (fractional coordinates):
Nd1 0.0000 0.0000 0.0000  4 Tl 3.24
Nd2 0.3088 0.3990 0.7078  3 Tl 3.28-3.32, 2 Sm 3.62
Nd3 0.3990 0.6912 0.0902  3 Tl 3.28-3.32, 2 Sm 3.62
Nd4 0.6010 0.3088 0.9098  3 Tl 3.28-3.32, 2 Sm 3.62
Nd5 0.6912 0.6010 0.2922  3 Tl 3.28-3.32, 2 Sm 3.62
Sm1 0.0926 0.6096 0.7022  3 Tl 3.19-3.40
Sm2 0.3904 0.0926 0.4830  3 Tl 3.19-3.40
Sm3 0.6096 0.9074 0.5170  3 Tl 3.19-3.40
Sm4 0.9074 0.3904 0.2978  3 Tl 3.19-3.40
Tl1 0.1049 0.2336 0.3386  3 Sm 3.19-3.40, 4 Nd 3.24-3.32
Tl2 0.2336 0.8951 0.1287  3 Sm 3.19-3.40, 4 Nd 3.24-3.32
Tl3 0.7664 0.1049 0.8713  3 Sm 3.19-3.40, 4 Nd 3.24-3.32
Tl4 0.8951 0.7664 0.6614  3 Sm 3.19-3.40, 4 Nd 3.24-3.32